Crystalline NaVZn at its relaxed geometry, computed with PBE.

Output
Calculated volume ... 19.40 Å³/atom
Formation energy from the elements ... 0.14 eV/atom
VASP energy ... -3.769 eV/atom
ΔE to the lowest computed polymorph ... 0.0 meV/atom

The structure in POSCAR format:
```
NaVZn
1.0
3.162 0.000 0.000
0.000 3.161 0.000
-0.015 0.000 11.643
Na Zn V
2 2 2
Direct
0.752 0.250 0.869
0.248 0.750 0.131
0.749 0.250 0.320
0.251 0.750 0.680
0.750 0.250 0.549
0.250 0.750 0.451
```